DFT (SCAN) results for a PBEsol-optimized structure of Zn2Pt.

a = 3.1955 Å, b = 3.1955 Å, c = 4.6868 Å
α = 109.93°, β = 109.93°, γ = 90.00°
Atoms (fractional coordinates):
Pt 0.0000 0.0000 0.0000
Zn 0.3336 0.3336 0.6672
Zn 0.6664 0.6664 0.3328

Properties
Its final energy is -98.49 eV/f.u. The space group is I4/mmm, No. 139. The calculated formation energy comes out at -0.42 eV/atom. As for the total moment: 0.0 μB per formula unit.